# ZrFe2F11 | Alexandria via LeMat-Bulk | PBE with a Hubbard U | optimized geometry
# total moment	44.5	μB/cell
# DFT total energy	-5.491	eV/atom
data_ZrFe2F11
_chemical_formula_sum 'Zr4 Fe8 F44'
_cell_length_a 7.539
_cell_length_b 9.578
_cell_length_c 10.182
_cell_angle_alpha 90.00
_cell_angle_beta 90.00
_cell_angle_gamma 90.00
_space_group_name_H-M_alt 'I b a m'
_space_group_IT_number 72
_space_group_name_Hall '-I 2 2c'
loop_
_atom_site_label
_atom_site_type_symbol
_atom_site_fract_x
_atom_site_fract_y
_atom_site_fract_z
Zr1 Zr 0.000 0.000 0.250
Fe1 Fe 0.161 0.305 0.000
F1 F 0.000 0.500 0.000
F2 F 0.105 0.170 0.141
F3 F 0.106 0.302 0.500
F4 F 0.218 0.080 0.367